1.
Density functional theory data (PBE-GGA) for an optimized crystal structure of Pa2Ni3Ir2.

abc: 6.7702 6.7702 6.7702
angles: 109.47 109.47 109.47
Positions (direct):
Pa1 0.0000 0.9776 0.5000
Pa2 0.5000 0.0000 0.9776
Pa3 0.5224 0.5224 0.5224
Pa4 0.9776 0.5000 0.0000
Ni1 0.0399 0.2500 0.2899
Ni2 0.2101 0.4601 0.7500
Ni3 0.2500 0.2899 0.0399
Ni4 0.2899 0.0399 0.2500
Ni5 0.4601 0.7500 0.2101
Ni6 0.7500 0.2101 0.4601
Ir1 0.0000 0.6082 0.5000
Ir2 0.5000 0.0000 0.6082
Ir3 0.6082 0.5000 0.0000
Ir4 0.8918 0.8918 0.8918

=====

2.
Density functional theory data (PBE-GGA) for an optimized crystal structure of LiBiSeN2.

Properties
Excess energy over the best structure of this formula in the dataset: 168 meV/atom
ΔE_f (raw): 1.314 eV/atom

abc: 4.1882 4.1882 4.7634
angles: 90.00 90.00 90.00
Positions (direct):
Li1 0.0000 0.0000 0.0000
Bi1 0.5000 0.5000 0.5000
Se1 0.0000 0.0000 0.5000
N1 0.0000 0.5000 0.0000
N2 0.5000 0.0000 0.0000

=====

3.
Density functional theory data (PBE-GGA) for an optimized crystal structure of CaTiTe3.

Properties
Excess energy over the best structure of this formula in the dataset: 0 meV/atom
ΔE_f (raw): -0.632 eV/atom

abc: 5.4066 5.4066 5.4066
angles: 90.00 90.00 90.00
Positions (direct):
Ca1 0.0000 0.0000 0.0000
Ti1 0.5000 0.5000 0.5000
Te1 0.0000 0.5000 0.5000
Te2 0.5000 0.0000 0.5000
Te3 0.5000 0.5000 0.0000

=====

4.
Density functional theory data (PBE-GGA) for an optimized crystal structure of SrCdBi.

Properties
Excess energy over the best structure of this formula in the dataset: 83 meV/atom

abc: 4.9502 4.9502 4.7899
angles: 90.00 90.00 120.00
Positions (direct):
Sr1 0.0000 0.0000 0.0000
Cd1 0.6667 0.3333 0.6158
Bi1 0.3333 0.6667 0.4336

=====

5.
Density functional theory data (PBE-GGA) for an optimized crystal structure of ZnTc2P2.

Properties
Excess energy over the best structure of this formula in the dataset: 68 meV/atom

abc: 6.8860 6.8860 2.9063
angles: 90.00 90.00 90.00
Positions (direct):
Zn1 0.0000 0.0000 0.0000
Zn2 0.5000 0.5000 0.0000
Tc1 0.1517 0.3483 0.5000
Tc2 0.3483 0.8483 0.5000
Tc3 0.6517 0.1517 0.5000
Tc4 0.8483 0.6517 0.5000
P1 0.1431 0.6431 0.0000
P2 0.3569 0.1431 0.0000
P3 0.6431 0.8569 0.0000
P4 0.8569 0.3569 0.0000

=====

6.
Density functional theory data (PBE-GGA) for an optimized crystal structure of PmNdPd2.

Properties
Excess energy over the best structure of this formula in the dataset: 66 meV/atom

abc: 5.1580 5.1580 3.5383
angles: 90.00 90.00 90.00
Positions (direct):
Pm1 0.0000 0.0000 0.0000
Nd1 0.5000 0.5000 0.0000
Pd1 0.0000 0.5000 0.5000
Pd2 0.5000 0.0000 0.5000

=====

7.
Density functional theory data (PBE-GGA) for an optimized crystal structure of Pr3Sm2Sc.

Properties
Excess energy over the best structure of this formula in the dataset: 0 meV/atom

abc: 6.2463 8.0716 8.8533
angles: 68.53 89.99 75.12
Positions (direct):
Pr1 0.0396 0.1388 0.2837
Pr2 0.2929 0.8738 0.0425
Pr3 0.3730 0.1275 0.6267
Pr4 0.6270 0.8725 0.3733
Pr5 0.7071 0.1262 0.9575
Pr6 0.9604 0.8612 0.7163
Sm1 0.2053 0.6198 0.4609
Sm2 0.4505 0.3846 0.2028
Sm3 0.5495 0.6154 0.7972
Sm4 0.7947 0.3802 0.5391
Sc1 0.1226 0.3791 0.8771
Sc2 0.8774 0.6209 0.1229

=====

8.
Density functional theory data (PBE-GGA) for an optimized crystal structure of Tm2PaTcC4.

abc: 6.1227 6.1227 11.9386
angles: 90.00 90.00 147.49
Positions (direct):
Tm1 0.1298 0.8702 0.5414
Tm2 0.1298 0.8702 0.9586
Tm3 0.8702 0.1298 0.0414
Tm4 0.8702 0.1298 0.4586
Pa1 0.4052 0.5948 0.7500
Pa2 0.5948 0.4052 0.2500
Tc1 0.3359 0.6641 0.2500
Tc2 0.6641 0.3359 0.7500
C1 0.0605 0.9395 0.7500
C2 0.2284 0.7716 0.1321
C3 0.2284 0.7716 0.3679
C4 0.5000 0.5000 0.0000
C5 0.5000 0.5000 0.5000
C6 0.7716 0.2284 0.6321
C7 0.7716 0.2284 0.8679
C8 0.9395 0.0605 0.2500

=====

Spin magnetization readings, ordered: 0.00 4.01 0.00 0.00 0.00 0.00 0.00 0.00 μB/f.u.
E_tot readings, ordered: -8.187 -3.872 -4.496 -2.632 -6.710 -5.729 -4.979 -8.316 eV per atom